Here is a relaxed LaThPb crystal from Alexandria. Energies are from PBE.

a = 4.282 Å, b = 4.282 Å, c = 10.390 Å
α = 90.00°, β = 90.00°, γ = 90.00°
Sites, in units of the cell vectors:
La1 0.000 0.000 0.000
La2 0.500 0.500 0.500
Th1 0.000 0.000 0.696
Th2 0.500 0.500 0.196
Pb1 0.000 0.000 0.346
Pb2 0.500 0.500 0.846

## Properties
Density (kg/m³): 10078
Energy above the most stable polymorph in this dataset (eV per formula unit): 0.38
ΔH_f (0 K) (eV/atom): -0.25
Final energy (eV per atom): -5.60
Spin magnetization (μB/f.u.): 0.00